Entry from Alexandria via LeMat-Bulk: crystalline Pm2PrFe at its relaxed geometry (PBE-GGA).

Cell lengths 3.538, 3.538, 9.098 Å; angles 90.00, 90.00, 90.00 degrees
Space group P4/mmm (No. 123)
Inequivalent atoms, fractional coordinates:
Pm 0.000 0.000 0.184 [2 per cell]
Pr 0.500 0.500 0.500 [1 per cell]
Fe 0.500 0.500 0.000 [1 per cell]

Output
Formation energy from the elements, eV/f.u.: 0.6
Calculated density, g/cm3: 7.098
DOS at the Fermi energy, states/eV per atom: 1.5971
Total DFT energy (no corrections), eV/cell: -22.1
E above lowest polymorph, meV/atom: 0.0


Entry from Alexandria via LeMat-Bulk: crystalline Pm3PrFe at its relaxed geometry (PBE-GGA).

Cell lengths 5.407, 5.407, 5.407 Å; angles 90.00, 90.00, 90.00 degrees
Space group Pm-3m (No. 221)
Inequivalent atoms, fractional coordinates:
Pm 0.000 0.000 0.500 [3 per cell]
Pr 0.500 0.500 0.500 [1 per cell]
Fe 0.000 0.000 0.000 [1 per cell]

Output
Formation energy from the elements, eV/f.u.: 0.9
Calculated density, g/cm3: 6.636
DOS at the Fermi energy, states/eV per atom: 1.9563
Total DFT energy (no corrections), eV/cell: -26.6


Entry from Alexandria via LeMat-Bulk: crystalline Pm2PrFe at its relaxed geometry (PBE-GGA).

Cell lengths 3.7008, 3.7008, 29.6653 Å; angles 90.00, 90.00, 120.00 degrees
Space group R-3m (No. 166, hexagonal axes)
Inequivalent atoms, fractional coordinates:
Pm 0.0000 0.0000 0.2277 [6 per cell]
Pr 0.0000 0.0000 0.0000 [3 per cell]
Fe 0.0000 0.0000 0.5000 [3 per cell]

Output
Formation energy from the elements, eV/f.u.: 0.9
Calculated density, g/cm3: 6.891
DOS at the Fermi energy, states/eV per atom: 1.2015
Total DFT energy (no corrections), eV/cell: -65.4
E above lowest polymorph, meV/atom: 81.6


Entry from Alexandria via LeMat-Bulk: crystalline PmPr3Fe at its relaxed geometry (PBE-GGA).

Cell lengths 5.452, 5.452, 5.452 Å; angles 90.00, 90.00, 90.00 degrees
Space group Pm-3m (No. 221)
Inequivalent atoms, fractional coordinates:
Pm 0.000 0.000 0.000 [1 per cell]
Pr 0.000 0.500 0.500 [3 per cell]
Fe 0.500 0.500 0.500 [1 per cell]

Output
Formation energy from the elements, eV/f.u.: 1.1
Calculated density, g/cm3: 6.388
DOS at the Fermi energy, states/eV per atom: 2.1445
Total DFT energy (no corrections), eV/cell: -26.4